Record 1
The following is a DFT calculation (PBE-GGA) of crystalline GaPb2Cl2 at its relaxed geometry.

- Fermi-level density of states (states/eV per atom) = 0.397
- space-group type = P4/mbm, No. 127
- E_form (uncorrected) (eV/f.u.) = -2.0

Cell: 7.7775 7.7775 5.0167 Å, 90.00 90.00 90.00°
Last column: nearest neighbours and their distance in Å.
Element x y z (fractional)
Ga 0.0000 0.0000 0.0000  4 Pb 2.94
Ga 0.5000 0.5000 0.0000  4 Pb 2.94
Pb 0.1554 0.3446 0.0000  2 Cl 2.87, 2 Ga 2.94
Pb 0.3446 0.8446 0.0000  2 Cl 2.87, 2 Ga 2.94
Pb 0.6554 0.1554 0.0000  2 Cl 2.87, 2 Ga 2.94
Pb 0.8446 0.6554 0.0000  2 Cl 2.87, 2 Ga 2.94
Cl 0.2178 0.7178 0.5000  2 Pb 2.87
Cl 0.2822 0.2178 0.5000  2 Pb 2.87
Cl 0.7178 0.7822 0.5000  2 Pb 2.87
Cl 0.7822 0.2822 0.5000  2 Pb 2.87

=====

Record 2
The following is a DFT calculation (PBE-GGA) of crystalline UFe5B2 at its relaxed geometry.

- Fermi-level density of states (states/eV per atom) = 0.828
- space-group type = Immm, No. 71
- ΔH_f (0 K) (eV per formula unit) = -1.9

Cell: 3.0583 6.5720 8.9377 Å, 90.00 90.00 90.00°
Last column: nearest neighbours and their distance in Å.
Element x y z (fractional)
U 0.0000 0.0000 0.0000  4 B 2.76, 8 Fe 2.88, 2 U 3.06
U 0.5000 0.5000 0.5000  4 B 2.76, 8 Fe 2.88, 2 U 3.06
Fe 0.0000 0.1947 0.3451  3 B 2.14-2.21, 2 Fe 2.40
Fe 0.0000 0.1947 0.6549  3 B 2.14-2.21, 2 Fe 2.40
Fe 0.0000 0.5000 0.0000  2 B 2.17, 8 Fe 2.43
Fe 0.0000 0.8053 0.3451  3 B 2.14-2.21, 2 Fe 2.40
Fe 0.0000 0.8053 0.6549  3 B 2.14-2.21, 2 Fe 2.40
Fe 0.5000 0.0000 0.5000  2 B 2.17, 8 Fe 2.43
Fe 0.5000 0.3053 0.1549  3 B 2.14-2.21, 2 Fe 2.40
Fe 0.5000 0.3053 0.8451  3 B 2.14-2.21, 2 Fe 2.40
Fe 0.5000 0.6947 0.1549  3 B 2.14-2.21, 2 Fe 2.40
Fe 0.5000 0.6947 0.8451  3 B 2.14-2.21, 2 Fe 2.40
B 0.0000 0.5000 0.2428  7 Fe 2.14-2.21
B 0.0000 0.5000 0.7572  7 Fe 2.14-2.21
B 0.5000 0.0000 0.2572  7 Fe 2.14-2.21
B 0.5000 0.0000 0.7428  7 Fe 2.14-2.21

=====

Record 3
The following is a DFT calculation (PBE-GGA) of crystalline Pr4CuRu at its relaxed geometry.

- Fermi-level density of states (states/eV per atom) = 1.234
- relative energy among the computed polymorphs (meV per atom) = 0.0
- space-group type = C2/c, No. 15
- ΔH_f (0 K) (eV per formula unit) = -0.7

Cell: 8.2270 8.2270 6.4091 Å, 106.54 106.54 113.40°
Last column: nearest neighbours and their distance in Å.
Element x y z (fractional)
Pr 0.0560 0.6954 0.9061  2 Ru 3.09-3.12, 2 Cu 3.09-3.25
Pr 0.2245 0.3592 0.7072  2 Ru 2.89-2.94, 2 Cu 3.09-3.20
Pr 0.3046 0.9440 0.5939  2 Ru 3.09-3.12, 2 Cu 3.09-3.25
Pr 0.3592 0.2245 0.2072  2 Ru 2.89-2.94, 2 Cu 3.09-3.20
Pr 0.6408 0.7755 0.7928  2 Ru 2.89-2.94, 2 Cu 3.09-3.20
Pr 0.6954 0.0560 0.4061  2 Ru 3.09-3.12, 2 Cu 3.09-3.25
Pr 0.7755 0.6408 0.2928  2 Ru 2.89-2.94, 2 Cu 3.09-3.20
Pr 0.9440 0.3046 0.0939  2 Ru 3.09-3.12, 2 Cu 3.09-3.25
Cu 0.3727 0.6273 0.2500  8 Pr 3.09-3.25
Cu 0.6273 0.3727 0.7500  8 Pr 3.09-3.25
Ru 0.0008 0.9992 0.7500  8 Pr 2.89-3.12, 2 Ru 3.20
Ru 0.9992 0.0008 0.2500  8 Pr 2.89-3.12, 2 Ru 3.20

=====

Record 4
The following is a DFT calculation (PBE-GGA) of crystalline Li4TeH at its relaxed geometry.

- Fermi-level density of states (states/eV per atom) = 0.330
- space-group type = Pm, No. 6

Cell: 4.4917 4.2800 6.1268 Å, 90.00 111.46 90.00°
Last column: nearest neighbours and their distance in Å.
Element x y z (fractional)
Li 0.0000 0.0000 0.0000  2 H 2.18
Li 0.1954 0.5000 0.3874  1 H 1.80
Li 0.4731 0.5000 0.9914  1 H 2.09
Li 0.7224 0.0000 0.4372  2 Te 2.65
Te 0.3464 0.0000 0.6847  8 Li 2.65-2.89
H 0.0604 0.5000 0.0721  1 Li 1.80

=====

Record 5
The following is a DFT calculation (PBE-GGA) of crystalline CeSm2Er2 at its relaxed geometry.

- Fermi-level density of states (states/eV per atom) = 2.521
- space-group type = I4/mmm, No. 139
- ΔH_f (0 K) (eV per formula unit) = 2.9

Cell: 6.0804 6.0804 9.4218 Å, 90.00 90.00 90.00°
Last column: nearest neighbours and their distance in Å.
Element x y z (fractional)
Ce 0.0000 0.0000 0.0000  2 Er 3.25
Ce 0.5000 0.5000 0.5000  2 Er 3.25
Sm 0.0000 0.5000 0.2500  4 Er 3.17
Sm 0.0000 0.5000 0.7500  4 Er 3.17
Sm 0.5000 0.0000 0.2500  4 Er 3.17
Sm 0.5000 0.0000 0.7500  4 Er 3.17
Er 0.0000 0.0000 0.3447  1 Er 2.93, 4 Sm 3.17, 1 Ce 3.25
Er 0.0000 0.0000 0.6553  1 Er 2.93, 4 Sm 3.17, 1 Ce 3.25
Er 0.5000 0.5000 0.1553  1 Er 2.93, 4 Sm 3.17, 1 Ce 3.25
Er 0.5000 0.5000 0.8447  1 Er 2.93, 4 Sm 3.17, 1 Ce 3.25

=====

Record 6
The following is a DFT calculation (PBE-GGA) of crystalline Yb2CdGa at its relaxed geometry.

- Fermi-level density of states (states/eV per atom) = 0.744
- space-group type = Fm-3m, No. 225
- ΔH_f (0 K) (eV per formula unit) = -1.9

Cell: 7.4029 7.4029 7.4029 Å, 90.00 90.00 90.00°
Last column: nearest neighbours and their distance in Å.
Element x y z (fractional)
Yb 0.2500 0.2500 0.2500  4 Cd 3.21, 4 Ga 3.21
Yb 0.2500 0.2500 0.7500  4 Cd 3.21, 4 Ga 3.21
Yb 0.2500 0.7500 0.2500  4 Cd 3.21, 4 Ga 3.21
Yb 0.2500 0.7500 0.7500  4 Ga 3.21, 4 Cd 3.21
Yb 0.7500 0.2500 0.2500  4 Cd 3.21, 4 Ga 3.21
Yb 0.7500 0.2500 0.7500  4 Ga 3.21, 4 Cd 3.21
Yb 0.7500 0.7500 0.2500  4 Ga 3.21, 4 Cd 3.21
Yb 0.7500 0.7500 0.7500  4 Cd 3.21, 4 Ga 3.21
Cd 0.0000 0.0000 0.0000  8 Yb 3.21
Cd 0.0000 0.5000 0.5000  8 Yb 3.21
Cd 0.5000 0.0000 0.5000  8 Yb 3.21
Cd 0.5000 0.5000 0.0000  8 Yb 3.21
Ga 0.0000 0.0000 0.5000  8 Yb 3.21
Ga 0.0000 0.5000 0.0000  8 Yb 3.21
Ga 0.5000 0.0000 0.0000  8 Yb 3.21
Ga 0.5000 0.5000 0.5000  8 Yb 3.21

=====

Record 7
The following is a DFT calculation (PBE-GGA) of crystalline Pa2Ga8Re at its relaxed geometry.

- Fermi-level density of states (states/eV per atom) = 0.995
- space-group type = P4/mmm, No. 123
- ΔH_f (0 K) (eV per formula unit) = -3.2

Cell: 4.3911 4.3911 11.0748 Å, 90.00 90.00 90.00°
Last column: nearest neighbours and their distance in Å.
Element x y z (fractional)
Pa 0.0000 0.0000 0.1958  12 Ga 2.99-3.11
Pa 0.0000 0.0000 0.8042  12 Ga 2.99-3.11
Ga 0.0000 0.5000 0.0000  8 Ga 3.04-3.10, 4 Pa 3.09
Ga 0.0000 0.5000 0.3795  2 Re 2.57, 1 Ga 2.67
Ga 0.0000 0.5000 0.6205  2 Re 2.57, 1 Ga 2.67
Ga 0.5000 0.0000 0.0000  8 Ga 3.04-3.10, 4 Pa 3.09
Ga 0.5000 0.0000 0.3795  2 Re 2.57, 1 Ga 2.67
Ga 0.5000 0.0000 0.6205  2 Re 2.57, 1 Ga 2.67
Ga 0.5000 0.5000 0.1894  8 Ga 3.04, 4 Pa 3.11
Ga 0.5000 0.5000 0.8106  8 Ga 3.04, 4 Pa 3.11
Re 0.0000 0.0000 0.5000  8 Ga 2.57

=====

Record 8
The following is a DFT calculation (PBE-GGA) of crystalline YbInAu at its relaxed geometry.

- Fermi-level density of states (states/eV per atom) = 4.955
- space-group type = P-62m, No. 189
- ΔH_f (0 K) (eV per formula unit) = -2.1

Cell: 7.9518 7.9518 3.9147 Å, 90.00 90.00 120.00°
Last column: nearest neighbours and their distance in Å.
Element x y z (fractional)
Yb 0.0000 0.5974 0.0000  5 Au 3.11-3.20, 6 In 3.29-3.43
Yb 0.4026 0.4026 0.0000  5 Au 3.11-3.20, 6 In 3.29-3.43
Yb 0.5974 0.0000 0.0000  5 Au 3.11-3.20, 6 In 3.29-3.43
In 0.0000 0.2656 0.5000  4 Au 2.88-2.96
In 0.2656 0.0000 0.5000  4 Au 2.88-2.96
In 0.7344 0.7344 0.5000  4 Au 2.88-2.96
Au 0.0000 0.0000 0.0000  6 In 2.88, 3 Yb 3.20
Au 0.3333 0.6667 0.5000  3 In 2.96, 6 Yb 3.11
Au 0.6667 0.3333 0.5000  3 In 2.96, 6 Yb 3.11

=====

Record 9
The following is a DFT calculation (PBE-GGA) of crystalline LiNd3Er3Se8 at its relaxed geometry.

- Fermi-level density of states (states/eV per atom) = 0.300
- space-group type = R-3m, No. 166
- E_form (uncorrected) (eV/f.u.) = -26.9

Cell: 8.2486 8.2486 8.2486 Å, 59.47 59.47 59.47°
Last column: nearest neighbours and their distance in Å.
Element x y z (fractional)
Li 0.0000 0.0000 0.0000  6 Se 2.86
Nd 0.0000 0.0000 0.5000  6 Se 2.96-2.97
Nd 0.0000 0.5000 0.0000  6 Se 2.96-2.97
Nd 0.5000 0.0000 0.0000  6 Se 2.96-2.97
Er 0.0000 0.5000 0.5000  6 Se 2.85
Er 0.5000 0.0000 0.5000  6 Se 2.85
Er 0.5000 0.5000 0.0000  6 Se 2.85
Se 0.2459 0.2459 0.7439  2 Er 2.85, 1 Li 2.86, 2 Nd 2.97
Se 0.2459 0.7439 0.2459  2 Er 2.85, 1 Li 2.86, 2 Nd 2.97
Se 0.2550 0.2550 0.2550  3 Er 2.85, 3 Nd 2.96
Se 0.2561 0.7541 0.7541  2 Er 2.85, 1 Li 2.86, 2 Nd 2.97
Se 0.7439 0.2459 0.2459  2 Er 2.85, 1 Li 2.86, 2 Nd 2.97
Se 0.7450 0.7450 0.7450  3 Er 2.85, 3 Nd 2.96
Se 0.7541 0.2561 0.7541  2 Er 2.85, 1 Li 2.86, 2 Nd 2.97
Se 0.7541 0.7541 0.2561  2 Er 2.85, 1 Li 2.86, 2 Nd 2.97

=====

Record 10
The following is a DFT calculation (PBE-GGA) of crystalline Li2SbPb3O6 at its relaxed geometry.

- Fermi-level density of states (states/eV per atom) = 0.216
- space-group type = P-3m1, No. 164
- E_form (uncorrected) (eV/f.u.) = -14.9

Cell: 5.8018 5.8018 6.6612 Å, 90.00 90.00 120.00°
Last column: nearest neighbours and their distance in Å.
Element x y z (fractional)
Li 0.3333 0.6667 0.2050  3 O 1.89
Li 0.6667 0.3333 0.7950  3 O 1.89
Sb 0.0000 0.0000 0.5000  6 O 2.01
Pb 0.0000 0.0000 0.0000  6 O 2.73
Pb 0.3333 0.6667 0.6293  9 O 2.64-2.92, 1 Li 2.83
Pb 0.6667 0.3333 0.3707  9 O 2.64-2.92, 1 Li 2.83
O 0.1636 0.3272 0.3265  1 Li 1.89, 1 Sb 2.01
O 0.1636 0.8364 0.3265  1 Li 1.89, 1 Sb 2.01
O 0.3272 0.1636 0.6735  1 Li 1.89, 1 Sb 2.01
O 0.6728 0.8364 0.3265  1 Li 1.89, 1 Sb 2.01
O 0.8364 0.1636 0.6735  1 Li 1.89, 1 Sb 2.01
O 0.8364 0.6728 0.6735  1 Li 1.89, 1 Sb 2.01

=====

For each record above, in turn, the calculated E_tot values are -3.2361 -8.6042 -5.5248 -2.8572 -4.3237 -2.2142 -5.3526 -3.2205 -5.6434 -5.3069 eV/atom.